Entry 1:
Fe2CuF: relaxed, PBE with a Hubbard U.

extended XYZ file:
```
8
Lattice="-0.8047 5.9778 -1.9317 -1.2217 -2.0592 -5.8635 -3.8468 1.7881 -3.2471" Properties=species:S:1:pos:R:3 pbc="T T T"
Cu 0.0000 0.0000 0.0000
Fe -1.8595 0.1574 -4.7988
F -1.0132 1.9593 -3.8976
Cu -2.8323 4.8626 -4.5382
Fe -3.6961 2.7244 -5.6039
F -3.0408 0.8441 -6.5041
Fe -1.5837 3.6756 -2.6712
Fe -4.6070 4.8560 -9.0108
```

Summary:
* theoretical density: 5.52 Mg/m³
* uncorrected energy: -35.36 eV for the cell shown
* symmetry: I-42d (122)
* crystal system: tetragonal
* V: 14.6 Å³ per atom

---

Entry 2:
FeCu2F8: relaxed, PBE with a Hubbard U.

extended XYZ file:
```
11
Lattice="3.9239 0.0001 -0.0001 -0.0004 5.4077 -3.1216 0.0003 -0.0022 6.2431" Properties=species:S:1:pos:R:3 pbc="T T T"
F 2.9422 1.6834 0.0044
F 2.9168 1.8013 3.1219
F 2.9420 4.5623 -1.6660
F 0.9816 3.7223 3.1170
F 0.9817 0.8378 1.4598
Fe 0.0003 -0.0022 6.2430
F 0.9818 0.8434 4.7873
F 1.0071 3.6044 -0.0007
F 2.9422 4.5679 1.6615
Cu 2.9776 3.6045 -0.0007
Cu 0.9462 1.8012 3.1220
```

Summary:
* theoretical density: 4.20 Mg/m³
* uncorrected energy: -46.89 eV for the cell shown
* symmetry: P-3m1 (164)
* crystal system: trigonal
* V: 12.0 Å³ per atom

---

Entry 3:
FeCuF5: relaxed, PBE with a Hubbard U.

extended XYZ file:
```
7
Lattice="3.3301 0.0001 1.2201 1.4152 5.1461 1.2911 -0.1225 -0.1153 5.4885" Properties=species:S:1:pos:R:3 pbc="T T T"
Fe 2.3114 2.5154 3.9998
F 0.9143 3.4323 2.6583
F 0.3783 1.5984 4.1213
F 2.7979 1.3127 2.6705
F 1.8249 3.7182 5.3292
Cu 0.0000 0.0000 0.0000
F 1.6650 0.0000 0.6101
```

Summary:
* theoretical density: 3.74 Mg/m³
* uncorrected energy: -32.48 eV for the cell shown
* symmetry: Immm (71)
* crystal system: orthorhombic
* V: 13.6 Å³ per atom

---

Entry 4:
Fe4CuF12: relaxed, PBE with a Hubbard U.

extended XYZ file:
```
17
Lattice="-2.6061 2.7058 -5.5290 0.6081 -6.5844 -0.9793 -3.9759 1.1571 5.2475" Properties=species:S:1:pos:R:3 pbc="T T T"
Fe 0.3041 -3.2922 -0.4897
F -3.5475 -3.0424 2.9021
F -3.8630 1.1454 2.4475
Fe -1.9879 0.5786 2.6237
F -2.4263 0.3210 -4.1630
F -1.2873 -2.2681 -1.0255
F -2.1109 -3.8669 -3.7083
F -2.2533 -0.9569 1.2620
F -2.2938 0.3220 -1.4005
F -3.6800 -3.0435 0.1396
F -3.7205 -1.7646 -2.5228
F -0.8755 -4.6894 0.2596
F -4.6866 -0.4534 -0.2354
F -5.0984 1.9680 -1.5204
Cu -1.6839 -2.7136 2.1341
Fe -1.3030 1.3529 -2.7645
Fe -2.9869 -1.3607 -0.6304
```

Summary:
* theoretical density: 3.72 Mg/m³
* uncorrected energy: -87.36 eV for the cell shown
* symmetry: Immm (71)
* crystal system: orthorhombic
* V: 13.5 Å³ per atom

---

Entry 5:
Fe2CuF: relaxed, PBE with a Hubbard U.

extended XYZ file:
```
4
Lattice="0.0000 2.9849 2.9849 2.9849 0.0000 2.9849 2.9849 2.9849 0.0000" Properties=species:S:1:pos:R:3 pbc="T T T"
F 0.0000 0.0000 0.0000
Fe 1.4924 1.4924 1.4924
Fe 4.4773 4.4773 4.4773
Cu 2.9849 2.9849 2.9849
```

Summary:
* theoretical density: 6.06 Mg/m³
* uncorrected energy: -16.51 eV for the cell shown
* symmetry: Fm-3m (225)
* crystal system: cubic
* V: 13.3 Å³ per atom

---

Entry 6:
FeCu2H21O10F8: relaxed, PBE with a Hubbard U.

extended XYZ file:
```
42
Lattice="-2.9435 6.0157 -1.1174 -4.1122 -1.7298 5.8056 7.8155 1.7934 2.9782" Properties=species:S:1:pos:R:3 pbc="T T T"
H 0.3867 3.0554 3.8356
O -3.8936 3.6642 2.2792
H 1.7764 1.0649 2.5826
O -1.0760 3.4288 1.7026
O -3.1818 2.6149 4.8660
H 1.5872 4.7464 2.1608
H 5.3941 1.9691 4.8831
H 0.5239 -0.3510 5.8299
H -1.0065 5.0430 5.0881
F 0.0976 4.6612 6.4937
Cu 2.9949 2.8602 4.3949
H 2.1355 2.2071 6.7990
H -0.4942 2.6553 1.4647
H -0.8152 1.3638 5.5116
Cu -2.2224 3.2410 3.2765
O 4.6666 2.4425 5.3940
F 3.6743 7.1571 3.2527
O 3.9537 3.4890 2.8070
F 1.3146 3.6827 3.5598
F -0.5428 2.4258 4.1125
O 1.8473 2.6754 5.9684
H -1.3645 3.8979 0.8726
H 4.9381 3.3129 2.7732
O -0.8916 0.7335 6.2675
H 3.6016 3.0815 1.9499
F 0.6746 1.4468 1.1767
O 1.6625 5.3764 1.4044
F -1.5643 4.7814 -0.4784
H -1.8176 0.3938 6.2737
H 4.5839 1.8910 6.2216
H 0.2461 6.4585 1.8406
O -1.6842 5.0987 4.3782
H -3.8105 4.2153 1.4516
O 2.4534 1.0075 3.2931
Fe 0.0061 0.0139 0.0024
F 2.3359 1.3262 8.1499
H -4.6206 4.1382 2.7900
H -4.1661 2.7919 4.8991
H 1.2670 3.4502 6.2054
H -2.8301 3.0250 5.7218
F -2.9023 -1.0492 4.4188
H 2.5883 5.7165 1.3972
```

Summary:
* theoretical density: 2.22 Mg/m³
* uncorrected energy: -203.21 eV for the cell shown
* symmetry: P-1 (2)
* crystal system: triclinic
* V: 9.2 Å³ per atom

---

Entry 7:
FeCuHgF6: relaxed, PBE with a Hubbard U.

extended XYZ file:
```
18
Lattice="4.9261 0.0000 0.0000 0.0000 4.9261 0.0000 0.0000 0.0000 10.2854" Properties=species:S:1:pos:R:3 pbc="T T T"
Hg 2.4630 2.4630 1.7068
F 3.3423 3.3423 6.9287
Hg 0.0000 0.0000 6.8495
F 3.8683 1.0578 8.6969
F 1.0297 3.8963 4.9661
F 3.5208 3.5208 3.5542
F 1.5837 1.5837 6.9287
Fe 2.4630 2.4630 8.5807
F 4.0468 0.8793 1.7860
F 1.0578 3.8683 8.6969
Fe 0.0000 0.0000 3.4380
Cu 0.0000 0.0000 10.2413
Cu 2.4630 2.4630 5.0987
F 1.4053 1.4053 3.5542
F 3.8963 1.0297 4.9661
F 0.8793 4.0468 1.7860
F 1.4333 1.4333 10.1087
F 3.4928 3.4928 10.1087
```

Summary:
* theoretical density: 5.77 Mg/m³
* uncorrected energy: -74.41 eV for the cell shown
* symmetry: P4_2nm (102)
* crystal system: tetragonal
* V: 13.9 Å³ per atom

---

Entry 8:
FeCu2IF: relaxed, PBE with a Hubbard U.

extended XYZ file:
```
5
Lattice="-2.3284 -4.2387 -0.9161 2.7611 -1.9527 2.0174 -2.6258 0.5505 4.1267" Properties=species:S:1:pos:R:3 pbc="T T T"
I -1.0966 -2.8205 2.6140
Cu -1.1642 -2.1194 -0.4580
F 1.3805 -0.9764 1.0087
Fe 0.0000 0.0000 0.0000
Cu -1.3129 0.2753 2.0634
```

Summary:
* theoretical density: 5.72 Mg/m³
* uncorrected energy: -17.23 eV for the cell shown
* symmetry: P4/mmm (123)
* crystal system: tetragonal
* V: 19.1 Å³ per atom

---

Entry 9:
K3Fe2CuF9: relaxed, PBE with a Hubbard U.

extended XYZ file:
```
15
Lattice="5.9165 0.0000 0.0000 -2.9583 5.1239 0.0000 0.0000 0.0000 7.1152" Properties=species:S:1:pos:R:3 pbc="T T T"
K 0.0000 0.0000 0.0000
F -1.4753 4.2677 4.7844
F 0.0000 1.7124 4.7844
F 1.4830 0.8562 2.3309
F 2.9583 3.4115 2.3309
F 1.4791 2.5619 0.0000
Fe 0.0000 3.4159 5.9305
F -1.4791 2.5619 0.0000
F 2.9583 0.0000 0.0000
Cu 0.0000 0.0000 3.5576
K 2.9583 1.7080 4.6830
Fe 2.9583 1.7080 1.1847
F 1.4753 4.2677 4.7844
F 4.4335 0.8562 2.3309
K 0.0000 3.4159 2.4323
```

Summary:
* theoretical density: 3.57 Mg/m³
* uncorrected energy: -72.06 eV for the cell shown
* symmetry: P-3m1 (164)
* crystal system: trigonal
* V: 14.4 Å³ per atom

---

Entry 10:
LiFeCuF6: relaxed, PBE with a Hubbard U.

extended XYZ file:
```
18
Lattice="4.6486 0.0000 0.0000 0.0000 4.6486 0.0000 0.0000 0.0000 9.1325" Properties=species:S:1:pos:R:3 pbc="T T T"
F 3.6760 0.9726 7.6141
F 1.4378 1.4378 6.1693
Cu 0.0000 0.0000 6.1173
Cu 2.3243 2.3243 1.5511
Fe 0.0000 0.0000 3.0387
F 3.2107 3.2107 6.1693
F 0.8820 3.7665 4.4738
F 1.4422 1.4422 9.0401
F 3.2063 3.2063 9.0401
Li 0.0000 0.0000 9.1249
F 3.7621 0.8864 1.6030
Li 2.3243 2.3243 4.5586
F 0.9726 3.6760 7.6141
F 3.2968 3.2968 3.0478
F 0.8864 3.7621 1.6030
F 3.7665 0.8820 4.4738
Fe 2.3243 2.3243 7.6049
F 1.3517 1.3517 3.0478
```

Summary:
* theoretical density: 4.04 Mg/m³
* uncorrected energy: -81.72 eV for the cell shown
* symmetry: P4_2nm (102)
* crystal system: tetragonal
* V: 11.0 Å³ per atom

---

Entry 11:
MnFeCuF2: relaxed, PBE with a Hubbard U.

extended XYZ file:
```
5
Lattice="3.9416 0.0000 0.0000 0.0000 5.8258 0.0000 0.0000 0.0000 3.9416" Properties=species:S:1:pos:R:3 pbc="T T T"
F 0.0000 0.0000 1.9708
F 1.9708 0.0000 0.0000
Mn 0.0000 0.0000 0.0000
Fe 1.9708 2.9129 1.9708
Cu 0.0000 2.9129 0.0000
```

Summary:
* theoretical density: 3.90 Mg/m³
* uncorrected energy: -25.05 eV for the cell shown
* symmetry: P4/mmm (123)
* crystal system: tetragonal
* V: 18.1 Å³ per atom

---

Entry 12:
MnFeCuF2: relaxed, PBE with a Hubbard U.

extended XYZ file:
```
5
Lattice="-2.7055 2.2195 1.5812 -0.8314 -4.5068 4.9035 2.6833 1.7808 2.0917" Properties=species:S:1:pos:R:3 pbc="T T T"
Cu -0.4268 -0.2533 4.2882
Fe 0.0000 0.0000 0.0000
F -1.3528 1.1097 0.7906
Mn -0.4157 -2.2534 2.4518
F 1.3416 0.8904 1.0458
```

Summary:
* theoretical density: 3.56 Mg/m³
* uncorrected energy: -25.12 eV for the cell shown
* symmetry: P4/mmm (123)
* crystal system: tetragonal
* V: 19.8 Å³ per atom

---

> What is the V in the ninth record?

14.4 Å³ per atom

---

> Number 1 is which compound?

Fe2CuF

---

> Which value of V does entry 10 give?

11.0 Å³ per atom

---

> Look up the V of the fifth one.

13.3 Å³ per atom